VASP calculation (GGA-PBE) on a relaxed Tl4SnPb crystal.

Properties
The energy above the most stable polymorph in this dataset is 27 meV per atom. Its total magnetization is 0.0000 μB per atom. As for the formation energy: 0.9 kcal/mol of atoms.

Cell lengths 6.7114, 6.7085, 10.0742 Å; angles 99.63, 99.65, 119.81 degrees
With the nearest neighbours (Å) after each atom.
Atoms (fractional coordinates):
Sn1 0.8752 0.1252 0.2505  8 Tl 3.34-3.46, 2 Pb 3.36
Sn2 0.1248 0.8748 0.7495  8 Tl 3.34-3.46, 2 Pb 3.36
Pb1 0.6252 0.3752 0.7504  2 Sn 3.36, 8 Tl 3.41-3.46
Pb2 0.3748 0.6248 0.2496  2 Sn 3.36, 8 Tl 3.41-3.46
Tl1 0.7870 0.0306 0.5675  2 Sn 3.35-3.45, 7 Tl 3.36-3.65, 2 Pb 3.41-3.46
Tl2 0.0302 0.7877 0.0677  2 Sn 3.34-3.46, 7 Tl 3.36-3.66, 2 Pb 3.41-3.45
Tl3 0.2805 0.5368 0.5675  2 Sn 3.35-3.45, 7 Tl 3.36-3.65, 2 Pb 3.41-3.46
Tl4 0.5375 0.2800 0.0677  2 Sn 3.34-3.46, 7 Tl 3.36-3.66, 2 Pb 3.41-3.45
Tl5 0.7195 0.4632 0.4325  2 Sn 3.35-3.45, 7 Tl 3.36-3.65, 2 Pb 3.41-3.46
Tl6 0.4625 0.7200 0.9323  2 Sn 3.34-3.46, 7 Tl 3.36-3.66, 2 Pb 3.41-3.45
Tl7 0.9698 0.2123 0.9323  2 Sn 3.34-3.46, 7 Tl 3.36-3.66, 2 Pb 3.41-3.45
Tl8 0.2130 0.9694 0.4325  2 Sn 3.35-3.45, 7 Tl 3.36-3.65, 2 Pb 3.41-3.46